Run P
The following is a DFT calculation (PBE) of an optimized crystal structure of Tb2Dy6Tl.

Summary:
**SG**: P4_2/mnm (136)
**DOS(E_F)**: 1.57 states/eV per atom

a b c (Å): 10.6222 10.6222 4.8830
angles (deg): 90.00 90.00 90.00
Closest atoms and distances in Å follow each position.
Positions (direct):
1 Tb 0.1621 0.1621 0.0000  10 Dy 3.44-3.60, 2 Tl 3.45
2 Tb 0.3379 0.6621 0.5000  10 Dy 3.44-3.60, 2 Tl 3.45
3 Tb 0.6621 0.3379 0.5000  10 Dy 3.44-3.60, 2 Tl 3.45
4 Tb 0.8379 0.8379 0.0000  10 Dy 3.44-3.60, 2 Tl 3.45
5 Dy 0.0002 0.3358 0.5000  8 Dy 3.47-3.59, 3 Tb 3.51-3.59, 1 Tl 3.57
6 Dy 0.9998 0.6642 0.5000  8 Dy 3.47-3.59, 3 Tb 3.51-3.59, 1 Tl 3.57
7 Dy 0.1619 0.8381 0.0000  4 Tb 3.44-3.60, 2 Tl 3.45, 6 Dy 3.51-3.59
8 Dy 0.1642 0.5002 0.0000  8 Dy 3.47-3.59, 3 Tb 3.51-3.59, 1 Tl 3.57
9 Dy 0.3358 0.0002 0.5000  8 Dy 3.47-3.59, 3 Tb 3.51-3.59, 1 Tl 3.57
10 Dy 0.3381 0.3381 0.5000  4 Tb 3.44-3.60, 2 Tl 3.45, 6 Dy 3.51-3.59
11 Dy 0.5002 0.1642 0.0000  8 Dy 3.47-3.59, 3 Tb 3.51-3.59, 1 Tl 3.57
12 Dy 0.4998 0.8358 0.0000  8 Dy 3.47-3.59, 3 Tb 3.51-3.59, 1 Tl 3.57
13 Dy 0.6619 0.6619 0.5000  4 Tb 3.44-3.60, 2 Tl 3.45, 6 Dy 3.51-3.59
14 Dy 0.6642 0.9998 0.5000  8 Dy 3.47-3.59, 3 Tb 3.51-3.59, 1 Tl 3.57
15 Dy 0.8358 0.4998 0.0000  8 Dy 3.47-3.59, 3 Tb 3.51-3.59, 1 Tl 3.57
16 Dy 0.8381 0.1619 0.0000  4 Tb 3.44-3.60, 2 Tl 3.45, 6 Dy 3.51-3.59
17 Tl 0.0000 0.0000 0.5000  8 Dy 3.45-3.57, 4 Tb 3.45
18 Tl 0.5000 0.5000 0.0000  8 Dy 3.45-3.57, 4 Tb 3.45

=====

Run Q
The following is a DFT calculation (PBE) of an optimized crystal structure of Tb2Dy6Tl.

Summary:
**SG**: P-1 (2)
**DOS(E_F)**: 1.43 states/eV per atom

a b c (Å): 6.2079 8.9564 10.9266
angles (deg): 108.41 106.48 90.04
Closest atoms and distances in Å follow each position.
Positions (direct):
1 Tb 0.0543 0.3046 0.4454  9 Dy 3.44-3.64, 3 Tb 3.46-3.55
2 Tb 0.3913 0.8042 0.4452  9 Dy 3.44-3.64, 3 Tb 3.46-3.55
3 Tb 0.6087 0.1958 0.5548  9 Dy 3.44-3.64, 3 Tb 3.46-3.55
4 Tb 0.9457 0.6954 0.5546  9 Dy 3.44-3.64, 3 Tb 3.46-3.55
5 Dy 0.0411 0.4715 0.7830  2 Tl 3.39-3.47, 7 Dy 3.41-3.67, 3 Tb 3.44-3.60
6 Dy 0.1738 0.0832 0.6747  1 Tl 3.41, 5 Tb 3.44-3.64, 6 Dy 3.47-3.63
7 Dy 0.2588 0.0285 0.2175  2 Tl 3.39-3.48, 7 Dy 3.41-3.67, 3 Tb 3.44-3.59
8 Dy 0.2749 0.8650 0.8932  3 Tl 3.41-3.60, 8 Dy 3.41-3.67, 1 Tb 3.51
9 Dy 0.3833 0.6360 0.1069  8 Dy 3.41-3.67, 3 Tl 3.42-3.58, 1 Tb 3.51
10 Dy 0.4993 0.4165 0.3246  1 Tl 3.41, 5 Tb 3.44-3.64, 6 Dy 3.47-3.65
11 Dy 0.5007 0.5835 0.6754  1 Tl 3.41, 5 Tb 3.44-3.64, 6 Dy 3.47-3.65
12 Dy 0.6167 0.3640 0.8931  8 Dy 3.41-3.67, 3 Tl 3.42-3.58, 1 Tb 3.51
13 Dy 0.7251 0.1350 0.1068  3 Tl 3.41-3.60, 8 Dy 3.41-3.67, 1 Tb 3.51
14 Dy 0.7412 0.9715 0.7825  2 Tl 3.39-3.48, 7 Dy 3.41-3.67, 3 Tb 3.44-3.59
15 Dy 0.8262 0.9168 0.3253  1 Tl 3.41, 5 Tb 3.44-3.64, 6 Dy 3.47-3.63
16 Dy 0.9589 0.5285 0.2170  2 Tl 3.39-3.47, 7 Dy 3.41-3.67, 3 Tb 3.44-3.60
17 Tl 0.1654 0.2500 0.9998  12 Dy 3.39-3.60
18 Tl 0.8346 0.7500 0.0002  12 Dy 3.39-3.60

=====

List of relative energies, unit meV/atom: run P 22; run Q 0

=====

Run P
The following is a DFT calculation (PBE) of an optimized crystal structure of Tb6Dy2Tl.

Summary:
**SG**: P4_2/mnm (136)
**DOS(E_F)**: 1.56 states/eV per atom

a b c (Å): 10.6477 10.6477 4.8928
angles (deg): 90.00 90.00 90.00
Closest atoms and distances in Å follow each position.
Positions (direct):
1 Tb 0.0003 0.3356 0.0000  8 Tb 3.48-3.60, 3 Dy 3.52-3.60, 1 Tl 3.57
2 Tb 0.9997 0.6644 0.0000  8 Tb 3.48-3.60, 3 Dy 3.52-3.60, 1 Tl 3.57
3 Tb 0.1618 0.1618 0.5000  4 Dy 3.45-3.61, 2 Tl 3.45, 6 Tb 3.52-3.60
4 Tb 0.1644 0.5003 0.5000  8 Tb 3.48-3.60, 3 Dy 3.52-3.60, 1 Tl 3.57
5 Tb 0.3356 0.0003 0.0000  8 Tb 3.48-3.60, 3 Dy 3.52-3.60, 1 Tl 3.57
6 Tb 0.3382 0.6618 0.0000  4 Dy 3.45-3.61, 2 Tl 3.45, 6 Tb 3.52-3.60
7 Tb 0.5003 0.1644 0.5000  8 Tb 3.48-3.60, 3 Dy 3.52-3.60, 1 Tl 3.57
8 Tb 0.4997 0.8356 0.5000  8 Tb 3.48-3.60, 3 Dy 3.52-3.60, 1 Tl 3.57
9 Tb 0.6618 0.3382 0.0000  4 Dy 3.45-3.61, 2 Tl 3.45, 6 Tb 3.52-3.60
10 Tb 0.6644 0.9997 0.0000  8 Tb 3.48-3.60, 3 Dy 3.52-3.60, 1 Tl 3.57
11 Tb 0.8356 0.4997 0.5000  8 Tb 3.48-3.60, 3 Dy 3.52-3.60, 1 Tl 3.57
12 Tb 0.8382 0.8382 0.5000  4 Dy 3.45-3.61, 2 Tl 3.45, 6 Tb 3.52-3.60
13 Dy 0.1620 0.8380 0.5000  10 Tb 3.45-3.61, 2 Tl 3.46
14 Dy 0.3380 0.3380 0.0000  10 Tb 3.45-3.61, 2 Tl 3.46
15 Dy 0.6620 0.6620 0.0000  10 Tb 3.45-3.61, 2 Tl 3.46
16 Dy 0.8380 0.1620 0.5000  10 Tb 3.45-3.61, 2 Tl 3.46
17 Tl 0.0000 0.0000 0.0000  8 Tb 3.45-3.57, 4 Dy 3.46
18 Tl 0.5000 0.5000 0.5000  8 Tb 3.45-3.57, 4 Dy 3.46

=====

Run Q
The following is a DFT calculation (PBE) of an optimized crystal structure of Tb6Dy2Tl.

Summary:
**SG**: C2/c (15)
**DOS(E_F)**: 1.42 states/eV per atom

a b c (Å): 10.9660 10.9660 8.9774
angles (deg): 108.52 108.52 32.92
Closest atoms and distances in Å follow each position.
Positions (direct):
1 Tb 0.0009 0.6733 0.0832  1 Tl 3.42, 5 Dy 3.45-3.65, 6 Tb 3.48-3.64
2 Tb 0.1184 0.7745 0.8646  3 Tl 3.42-3.60, 8 Tb 3.43-3.69, 1 Dy 3.52
3 Tb 0.2255 0.8816 0.6354  3 Tl 3.42-3.60, 8 Tb 3.43-3.69, 1 Dy 3.52
4 Tb 0.2419 0.5400 0.4715  2 Tl 3.40-3.50, 7 Tb 3.43-3.69, 3 Dy 3.44-3.60
5 Tb 0.3267 0.9991 0.4168  1 Tl 3.42, 5 Dy 3.45-3.65, 6 Tb 3.48-3.64
6 Tb 0.4600 0.7581 0.0285  2 Tl 3.40-3.50, 7 Tb 3.43-3.69, 3 Dy 3.44-3.60
7 Tb 0.5400 0.2419 0.9715  2 Tl 3.40-3.50, 7 Tb 3.43-3.69, 3 Dy 3.44-3.60
8 Tb 0.6733 0.0009 0.5832  1 Tl 3.42, 5 Dy 3.45-3.65, 6 Tb 3.48-3.64
9 Tb 0.7581 0.4600 0.5285  2 Tl 3.40-3.50, 7 Tb 3.43-3.69, 3 Dy 3.44-3.60
10 Tb 0.7745 0.1184 0.3646  3 Tl 3.42-3.60, 8 Tb 3.43-3.69, 1 Dy 3.52
11 Tb 0.8816 0.2255 0.1354  3 Tl 3.42-3.60, 8 Tb 3.43-3.69, 1 Dy 3.52
12 Tb 0.9991 0.3267 0.9168  1 Tl 3.42, 5 Dy 3.45-3.65, 6 Tb 3.48-3.64
13 Dy 0.1085 0.4458 0.6955  9 Tb 3.44-3.65, 3 Dy 3.46-3.56
14 Dy 0.4458 0.1085 0.1955  9 Tb 3.44-3.65, 3 Dy 3.46-3.56
15 Dy 0.5542 0.8915 0.8045  9 Tb 3.44-3.65, 3 Dy 3.46-3.56
16 Dy 0.8915 0.5542 0.3045  9 Tb 3.44-3.65, 3 Dy 3.46-3.56
17 Tl 0.3334 0.6666 0.2500  12 Tb 3.40-3.60
18 Tl 0.6666 0.3334 0.7500  12 Tb 3.40-3.60

=====

List of relative energies, unit meV/atom: run P 24; run Q 0